TbTlI | PBE-GGA | optimized geometry

Computed properties:
Magnetization (μB per formula unit): 0.00
VASP energy (eV per cell): -43.0
Energy relative to the elements, uncorrected (eV per atom): -0.736

a = 7.977 Å, b = 4.604 Å, c = 12.178 Å
α = 90.00°, β = 102.72°, γ = 90.00°
Space group C2/m (No. 12)
One atom of each set of equivalent atoms:
Tb: 0.060 0.000 0.179
Tl: 0.149 0.500 0.947
I: 0.221 0.000 0.665